Record 1
Computed, not measured: a geometry-optimized KMgTlPb structure at the PBE level of DFT.

Crystal system   cubic
Energy of formation from the pure elements   -0.049 eV per atom
Calculated volume   30.1 Å³ per atom
Space group   F-43m, No. 216

```
KMgTlPb
1.0
7.837 0.000 0.000
0.000 7.837 0.000
0.000 0.000 7.837
K Mg Tl Pb
4 4 4 4
Cartesian
0.000 0.000 0.000
0.000 3.918 3.918
3.918 0.000 3.918
3.918 3.918 0.000
0.000 0.000 3.918
0.000 3.918 0.000
3.918 0.000 0.000
3.918 3.918 3.918
1.959 1.959 1.959
1.959 5.877 5.877
5.877 1.959 5.877
5.877 5.877 1.959
1.959 1.959 5.877
1.959 5.877 1.959
5.877 1.959 1.959
5.877 5.877 5.877
```

***

Record 2
Computed, not measured: a geometry-optimized Pu2ZrRh structure at the PBE level of DFT.

Crystal system   tetragonal
Energy of formation from the pure elements   -0.101 eV per atom
Calculated volume   22.3 Å³ per atom
Space group   P4/mmm, No. 123

```
Pu2ZrRh
1.0
3.532 0.000 0.000
0.000 3.532 0.000
0.000 0.000 7.162
Pu Zr Rh
2 1 1
Cartesian
0.000 0.000 1.540
0.000 0.000 5.621
1.766 1.766 3.581
1.766 1.766 0.000
```

***

Record 3
Computed, not measured: a geometry-optimized Ca2H6Ru structure at the PBE level of DFT.

Crystal system   cubic
Calculated volume   10.3 Å³ per atom
Space group   Fm-3m, No. 225
E   -4.337 eV/atom

```
Ca2H6Ru
1.0
0.000 3.588 3.588
3.588 0.000 3.588
3.588 3.588 0.000
Ca H Ru
2 6 1
Cartesian
1.794 1.794 1.794
5.381 5.381 5.381
3.588 3.588 1.715
3.588 1.715 3.588
5.460 3.588 3.588
1.715 3.588 3.588
3.588 5.460 3.588
3.588 3.588 5.460
0.000 0.000 0.000
```

***

Record 4
Computed, not measured: a geometry-optimized V2Ge3Ru structure at the PBE level of DFT.

Crystal system   monoclinic
Energy of formation from the pure elements   -0.082 eV per atom
Calculated volume   14.4 Å³ per atom
Space group   C2/c, No. 15

```
V2Ge3Ru
1.0
2.101 -6.635 0.000
2.101 6.635 0.000
-0.011 0.000 6.179
V Ge Ru
4 6 2
Cartesian
2.093 6.412 4.634
2.099 2.042 1.545
2.093 -2.042 4.634
2.099 -6.412 1.545
2.100 4.365 0.049
2.097 4.365 3.040
2.101 0.000 0.000
2.096 0.000 3.089
2.094 -4.365 3.139
2.092 -4.365 6.129
2.093 2.289 4.634
2.099 -2.289 1.545
```

***

Record 5
Computed, not measured: a geometry-optimized Hg2OsCl structure at the PBE level of DFT.

Crystal system   tetragonal
Calculated volume   19.5 Å³ per atom
Space group   I4/mmm, No. 139
E   -2.301 eV/atom

```
Hg2OsCl
1.0
4.110 0.000 0.000
0.000 4.110 0.000
0.000 0.000 9.221
Hg Os Cl
4 2 2
Cartesian
0.000 2.055 2.305
0.000 2.055 6.916
2.055 0.000 2.305
2.055 0.000 6.916
0.000 0.000 0.000
2.055 2.055 4.611
0.000 0.000 4.611
2.055 2.055 0.000
```

***

Record 6
Computed, not measured: a geometry-optimized CaTbNd structure at the PBE level of DFT.

Crystal system   tetragonal
Energy of formation from the pure elements   0.032 eV per atom
Calculated volume   36.0 Å³ per atom
Space group   P4/nmm, No. 129

```
CaTbNd
1.0
3.683 0.000 0.000
0.000 3.683 0.000
0.000 0.000 15.916
Ca Tb Nd
2 2 2
Cartesian
0.921 0.921 1.479
2.763 2.763 14.437
0.921 0.921 6.708
2.763 2.763 9.209
0.921 0.921 11.640
2.763 2.763 4.276
```